Crystalline Ag7ClF12 at its relaxed geometry, computed with PBE.

Lattice parameters (Å, degrees): 11.5328 11.5328 8.8143 90.00 90.00 120.00
Space group R-3 (No. 148, hexagonal axes)
Symmetry-distinct sites (fractional):
Ag  0.0000  0.0000  0.0000 (multiplicity 3)
Ag  0.0035  0.7985  0.3277 (multiplicity 18)
Cl  0.0000  0.0000  0.5000 (multiplicity 3)
F  0.0157  0.5032  0.1587 (multiplicity 18)
F  0.0777  0.9027  0.8567 (multiplicity 18)

Computed properties:
The total magnetic moment comes out at 5.4 μB/cell. The calculated density comes out at 4.997 g/cm3. Its formation energy from raw total energies is -0.987 eV/atom. The relative energy among the computed polymorphs comes out at 0 meV per atom.